LiYBeSb2: single point on PBEsol structure, SCAN.

As for the final energy: -21.772 eV/atom. The value obtained for the raw formation energy is 0.049 eV per atom. The calculation puts the density of states at the Fermi level at 2.6 states/eV/cell.

Cell lengths 4.961, 4.961, 4.269 Å; angles 90.00, 90.00, 90.00 degrees
Space group P4/mmm (No. 123)
One atom of each set of equivalent atoms:
Li 0.000 0.000 0.000
Y 0.500 0.500 0.500
Be 0.000 0.000 0.500
Sb 0.000 0.500 0.000



AgAuCl: single point on PBEsol structure, SCAN.

As for the final energy: -35.821 eV/atom. The value obtained for the raw formation energy is 0.347 eV per atom. The calculation puts the density of states at the Fermi level at 3.0 states/eV/cell. Its distance to the lowest polymorph of the same formula is 382.9 meV per atom.

Cell lengths 6.277, 6.277, 6.277 Å; angles 90.00, 90.00, 90.00 degrees
Space group F-43m (No. 216)
One atom of each set of equivalent atoms:
Ag 0.000 0.000 0.000
Au 0.000 0.000 0.500
Cl 0.250 0.250 0.250



TlMoI2N: single point on PBEsol structure, SCAN.

As for the final energy: -36.571 eV/atom. The value obtained for the raw formation energy is 1.433 eV per atom. The calculation puts the density of states at the Fermi level at 4.8 states/eV/cell.

Cell lengths 6.065, 6.065, 4.027 Å; angles 90.00, 90.00, 90.00 degrees
Space group P4/mmm (No. 123)
One atom of each set of equivalent atoms:
Tl 0.000 0.000 0.000
Mo 0.500 0.500 0.500
I 0.000 0.500 0.000
N 0.000 0.000 0.500



BeCuF2: single point on PBEsol structure, SCAN.

As for the final energy: -8.773 eV/atom. The value obtained for the raw formation energy is -2.115 eV per atom. The calculation puts the density of states at the Fermi level at 2.3 states/eV/cell. Its distance to the lowest polymorph of the same formula is 0.0 meV per atom.

Cell lengths 2.5123, 2.5123, 24.6617 Å; angles 90.00, 90.00, 120.00 degrees
Space group R-3m (No. 166, hexagonal axes)
One atom of each set of equivalent atoms:
Be 0.0000 0.0000 0.0000
Cu 0.0000 0.0000 0.5000
F 0.0000 0.0000 0.3705



Mn2IrPt: single point on PBEsol structure, SCAN.

Its energy relative to the elements is -0.4475 eV/atom. As for the final energy: -44.898 eV/atom. The calculation puts the density of states at the Fermi level at 3.1 states/eV/cell. Its distance to the lowest polymorph of the same formula is 161.1 meV per atom.

Cell lengths 2.640, 2.640, 7.336 Å; angles 90.00, 90.00, 90.00 degrees
Space group P4/mmm (No. 123)
One atom of each set of equivalent atoms:
Mn 0.000 0.000 0.243
Ir 0.500 0.500 0.000
Pt 0.500 0.500 0.500



Ag2PtW: single point on PBEsol structure, SCAN.

Its energy relative to the elements is 0.2162 eV/atom. As for the final energy: -50.438 eV/atom. The calculation puts the density of states at the Fermi level at 2.6 states/eV/cell. Its distance to the lowest polymorph of the same formula is 103.0 meV per atom.

Cell lengths 2.750, 3.946, 5.875 Å; angles 90.00, 90.00, 90.00 degrees
Space group Pmm2 (No. 25)
One atom of each set of equivalent atoms:
Ag 0.000 0.000 0.000
Ag 0.500 0.500 0.239
Pt 0.000 0.000 0.524
W 0.500 0.500 0.720



YZnCu2: single point on PBEsol structure, SCAN.

Its energy relative to the elements is -0.2482 eV/atom. As for the final energy: -18.187 eV/atom. The calculation puts the density of states at the Fermi level at 7.5 states/eV/cell.

Cell lengths 4.1643, 4.1643, 13.5316 Å; angles 90.00, 90.00, 120.00 degrees
Space group R3m (No. 160, hexagonal axes)
One atom of each set of equivalent atoms:
Y 0.0000 0.0000 0.0000
Zn 0.0000 0.0000 0.7924
Cu 0.0000 0.0000 0.2066
Cu 0.0000 0.0000 0.5208



AgPt2: single point on PBEsol structure, SCAN.

Its energy relative to the elements is 0.0557 eV/atom. As for the final energy: -57.195 eV/atom. The calculation puts the density of states at the Fermi level at 11.0 states/eV/cell. Its distance to the lowest polymorph of the same formula is 57.3 meV per atom.

Cell lengths 6.879, 5.589, 4.796 Å; angles 90.00, 91.18, 90.00 degrees
Space group P2_1/c (No. 14)
One atom of each set of equivalent atoms:
Ag 0.163 0.128 0.083
Pt 0.171 0.628 0.080
Pt 0.497 0.623 0.750



MgScAl: single point on PBEsol structure, SCAN.

Its energy relative to the elements is -0.0128 eV/atom. As for the final energy: -9.000 eV/atom. The calculation puts the density of states at the Fermi level at 2.7 states/eV/cell.

Cell lengths 3.1118, 3.1118, 7.4511 Å; angles 90.00, 90.00, 120.00 degrees
Space group P3m1 (No. 156)
One atom of each set of equivalent atoms:
Mg 0.0000 0.0000 0.0000
Sc 0.6667 0.3333 0.6369
Al 0.3333 0.6667 0.3231



Nb2GaCoS: single point on PBEsol structure, SCAN.

As for the final energy: -20.483 eV/atom. The value obtained for the raw formation energy is 1.424 eV per atom. The calculation puts the density of states at the Fermi level at 5.8 states/eV/cell.

Cell lengths 4.778, 4.778, 4.378 Å; angles 90.00, 90.00, 90.00 degrees
Space group P4/mmm (No. 123)
One atom of each set of equivalent atoms:
Nb 0.000 0.500 0.000
Ga 0.000 0.000 0.000
Co 0.500 0.500 0.500
S 0.000 0.000 0.500



TiZnH12O6F6: single point on PBEsol structure, SCAN.

As for the final energy: -6.718 eV/atom. The calculation puts the density of states at the Fermi level at 0.0 states/eV/cell.

Cell lengths 9.5566, 9.5566, 9.8009 Å; angles 90.00, 90.00, 120.00 degrees
Space group R-3 (No. 148, hexagonal axes)
One atom of each set of equivalent atoms:
Ti 0.0000 0.0000 0.0000
Zn 0.0000 0.0000 0.5000
H 0.0287 0.8370 0.2838
H 0.0433 0.4545 0.2663
O 0.0077 0.8227 0.3830
F 0.0524 0.8724 0.1109



MgZr2Cl: single point on PBEsol structure, SCAN.

As for the final energy: -18.430 eV/atom. The value obtained for the raw formation energy is 0.157 eV per atom. The calculation puts the density of states at the Fermi level at 4.4 states/eV/cell. Its distance to the lowest polymorph of the same formula is 187.3 meV per atom.

Cell lengths 4.092, 4.092, 10.238 Å; angles 90.00, 90.00, 90.00 degrees
Space group I4/mmm (No. 139)
One atom of each set of equivalent atoms:
Mg 0.000 0.000 0.000
Zr 0.000 0.500 0.250
Cl 0.000 0.000 0.500